[1]
## CaZnNi2W (GGA-PBE)

Data for CaZnNi2W after structural relaxation.

Unit cell a=4.589 b=4.589 c=4.959 alpha=90.00 beta=90.00 gamma=90.00
Space group P4/mmm (No. 123)
One atom of each set of equivalent atoms:
Ca1 0.000 0.000 0.000 [1 per cell]
Zn1 0.500 0.500 0.000 [1 per cell]
Ni1 0.000 0.500 0.500 [2 per cell]
W1 0.500 0.500 0.500 [1 per cell]

Properties
For the spin magnetization, the calculation gives 0.00 μB per atom. For the total DFT energy (no corrections), the calculation gives -24.55 eV for the cell shown. The calculation puts the formation energy at 0.65 eV/atom.

[2]
## CaYNi2 (GGA-PBE)

Data for CaYNi2 after structural relaxation.

Unit cell a=3.711 b=4.025 c=11.912 alpha=90.00 beta=90.00 gamma=90.00
Space group Imm2 (No. 44)
One atom of each set of equivalent atoms:
Ca1 0.000 0.000 0.000 [2 per cell]
Y1 0.000 0.500 0.240 [2 per cell]
Ni1 0.000 0.000 0.411 [2 per cell]
Ni2 0.000 0.500 0.790 [2 per cell]

Properties
For the spin magnetization, the calculation gives 0.00 μB per atom. For the total DFT energy (no corrections), the calculation gives -41.05 eV for the cell shown. The calculation puts the formation energy at -0.12 eV/atom.

[3]
## CaYNi10 (GGA-PBE)

Data for CaYNi10 after structural relaxation.

Unit cell a=3.947 b=4.912 c=8.491 alpha=90.00 beta=90.00 gamma=90.00
Space group Pmmm (No. 47)
One atom of each set of equivalent atoms:
Ca1 0.000 0.000 0.000 [1 per cell]
Y1 0.000 0.500 0.500 [1 per cell]
Ni1 0.000 0.000 0.334 [2 per cell]
Ni2 0.000 0.500 0.168 [2 per cell]
Ni3 0.500 0.000 0.500 [1 per cell]
Ni4 0.500 0.252 0.253 [4 per cell]
Ni5 0.500 0.500 0.000 [1 per cell]

Properties
For the spin magnetization, the calculation gives 0.28 μB per atom. For the total DFT energy (no corrections), the calculation gives -68.84 eV for the cell shown. The calculation puts the formation energy at -0.21 eV/atom.